(w)
Here is an optimized crystal structure of Si2TeAs from Alexandria. Energies are from PBEsol.

The value obtained for the total moment is 0.00 μB/cell. The density of states at the Fermi level comes out at 1.77 states/eV/f.u.

The space group is Imm2 (No. 44) and the conventional cell measures 3.359, 4.669 and 9.889 Å, with angles of 90.00, 90.00 and 90.00 degrees. The inequivalent atoms are Si at (0.000, 0.000, 0.000), Si at (0.000, 0.500, 0.297), Te at (0.000, 0.500, 0.809) and As at (0.000, 0.000, 0.597).

---

(x)
Here is an optimized crystal structure of Si2TeAs from Alexandria. Energies are from PBEsol.

The value obtained for the total moment is 0.00 μB/cell. The density of states at the Fermi level comes out at 2.02 states/eV/f.u.

The space group is I-4m2 (No. 119) and the conventional cell measures 3.897, 3.897 and 10.419 Å, with angles of 90.00, 90.00 and 90.00 degrees. The inequivalent atoms are Si at (0.000, 0.000, 0.000), Si at (0.000, 0.500, 0.250), Te at (0.000, 0.000, 0.500) and As at (0.000, 0.500, 0.750).

---

Most stable structure: (w)

---

(w)
Here is an optimized crystal structure of Tl2SiAs from Alexandria. Energies are from PBEsol.

The value obtained for the total moment is 0.00 μB/cell. The density of states at the Fermi level comes out at 1.71 states/eV/f.u.

The space group is P4mm (No. 99) and the conventional cell measures 3.451, 3.451 and 7.836 Å, with angles of 90.00, 90.00 and 90.00 degrees. The inequivalent atoms are Tl at (0.000, 0.000, 0.000), Tl at (0.500, 0.500, 0.324), Si at (0.500, 0.500, 0.726) and As at (0.000, 0.000, 0.609).

---

(x)
Here is an optimized crystal structure of Tl2SiAs from Alexandria. Energies are from PBEsol.

The value obtained for the total moment is 0.00 μB/cell. The density of states at the Fermi level comes out at 2.28 states/eV/f.u.

The space group is Fm-3m (No. 225) and the conventional cell measures 7.126, 7.126 and 7.126 Å, with angles of 90.00, 90.00 and 90.00 degrees. The inequivalent atoms are Tl at (0.250, 0.250, 0.250), Si at (0.000, 0.000, 0.000) and As at (0.000, 0.000, 0.500).

---

Most stable structure: (w)

---

(w)
Here is an optimized crystal structure of SiAsW2 from Alexandria. Energies are from PBEsol.

The value obtained for the total moment is 0.00 μB/cell. The density of states at the Fermi level comes out at 4.00 states/eV/f.u.

The space group is P4/mmm (No. 123) and the conventional cell measures 3.079, 3.079 and 6.124 Å, with angles of 90.00, 90.00 and 90.00 degrees. The inequivalent atoms are Si at (0.000, 0.000, 0.000), As at (0.000, 0.000, 0.500) and W at (0.500, 0.500, 0.236).

---

(x)
Here is an optimized crystal structure of SiAsW2 from Alexandria. Energies are from PBEsol.

The value obtained for the total moment is 0.00 μB/cell. The density of states at the Fermi level comes out at 2.79 states/eV/f.u.

The space group is Pmm2 (No. 25) and the conventional cell measures 2.957, 4.616 and 4.369 Å, with angles of 90.00, 90.00 and 90.00 degrees. The inequivalent atoms are Si at (0.000, 0.000, 0.000), As at (0.500, 0.500, 0.205), W at (0.000, 0.500, 0.709) and W at (0.500, 0.000, 0.502).

---

(y)
Here is an optimized crystal structure of SiAsW2 from Alexandria. Energies are from PBEsol.

The value obtained for the total moment is 0.00 μB/cell. The density of states at the Fermi level comes out at 1.27 states/eV/f.u.

The space group is P4mm (No. 99) and the conventional cell measures 3.199, 3.199 and 5.700 Å, with angles of 90.00, 90.00 and 90.00 degrees. The inequivalent atoms are Si at (0.000, 0.000, 0.000), As at (0.500, 0.500, 0.728), W at (0.000, 0.000, 0.514) and W at (0.500, 0.500, 0.197).

---

(z)
Here is an optimized crystal structure of SiAsW2 from Alexandria. Energies are from PBEsol.

The value obtained for the total moment is 0.00 μB/cell. The density of states at the Fermi level comes out at 3.13 states/eV/f.u.

The space group is I-4m2 (No. 119) and the conventional cell measures 3.981, 3.981 and 7.576 Å, with angles of 90.00, 90.00 and 90.00 degrees. The inequivalent atoms are Si at (0.000, 0.000, 0.000), As at (0.000, 0.500, 0.750), W at (0.000, 0.000, 0.500) and W at (0.000, 0.500, 0.250).

---

Most stable structure: (y)